Entry 1:
Here is crystalline Nb2SnBr at its relaxed geometry from Alexandria via LeMat-Bulk. Energies are from PBE-GGA.

Structure (POSCAR):
```
Nb2SnBr
1.0
-1.6081 -3.2241 3.1702
-3.0892 -3.3989 -1.3912
1.4323 -4.5711 -0.2899
Nb Sn Br
2 1 1
direct
0.7500 0.7500 0.7500
0.2500 0.2500 0.2500
0.5000 0.5000 0.5000
0.0000 0.0000 0.0000
```

Values from the calculation:
DFT total energy   -6.11 eV/atom
Total moment   0.93 μB/cell
Density   8.17 g/cm³
SG   No. 225
Raw formation energy   0.34 eV/atom

***

Entry 2:
Here is crystalline NbSnBr at its relaxed geometry from Alexandria via LeMat-Bulk. Energies are from PBE-GGA.

Structure (POSCAR):
```
NbSnBr
1.0
-0.1738 -4.1538 3.9724
9.3863 -2.5671 1.8882
-1.5588 3.9306 8.2036
Sn Br Nb
6 6 6
direct
0.9145 0.5790 0.2398
0.1669 0.1199 0.1246
0.3570 0.3405 0.3697
0.9328 0.8405 0.8697
0.5886 0.6199 0.6246
0.2667 0.0790 0.7398
0.6510 0.2951 0.9457
0.1489 0.4643 0.8415
0.7911 0.1573 0.5492
0.5025 0.6573 0.0492
0.1082 0.7951 0.4457
0.5453 0.9643 0.3415
0.0343 0.8407 0.1744
0.0975 0.5877 0.6116
0.9506 0.3407 0.6744
0.8382 0.3655 0.3936
0.7033 0.0877 0.1116
0.4027 0.8655 0.8936
```

Values from the calculation:
DFT total energy   -5.36 eV/atom
Total moment   3.36 μB/cell
Density   6.21 g/cm³
SG   No. 9
Raw formation energy   -0.12 eV/atom

***

Entry 3:
Here is crystalline Sr2NbSnBr at its relaxed geometry from Alexandria via LeMat-Bulk. Energies are from PBE-GGA.

Structure (POSCAR):
```
Sr2NbSnBr
1.0
-6.0188 -0.2638 -0.4372
0.0289 -4.6900 2.4328
-0.5096 2.7690 5.3441
Sn Sr Br Nb
1 2 1 1
direct
0.0000 0.5000 0.0000
0.5000 0.0000 0.0000
0.0000 0.0000 0.5000
0.5000 0.5000 0.5000
0.0000 0.0000 0.0000
```

Values from the calculation:
DFT total energy   -3.70 eV/atom
Total moment   0.00 μB/cell
Density   4.02 g/cm³
SG   No. 123
Raw formation energy   0.12 eV/atom

***

Entry 4:
Here is crystalline Sr3NbBr at its relaxed geometry from Alexandria via LeMat-Bulk. Energies are from PBE-GGA.

Structure (POSCAR):
```
Sr3NbBr
1.0
5.9126 0.0000 0.0000
0.0000 5.9126 0.0000
0.0000 0.0000 5.9126
Nb Br Sr
1 1 3
direct
0.0000 0.0000 0.0000
0.5000 0.5000 0.5000
0.0000 0.0000 0.5000
0.5000 0.0000 0.0000
0.0000 0.5000 0.0000
```

Values from the calculation:
DFT total energy   -2.87 eV/atom
Total moment   0.00 μB/cell
Density   3.50 g/cm³
SG   No. 221
Raw formation energy   0.49 eV/atom

***

Entry 5:
Here is crystalline SrNbBr3 at its relaxed geometry from Alexandria via LeMat-Bulk. Energies are from PBE-GGA.

Structure (POSCAR):
```
SrNbBr3
1.0
5.8634 0.0000 0.0000
0.0000 5.8634 0.0000
0.0000 0.0000 5.8634
Br Nb Sr
3 1 1
direct
0.5000 0.0000 0.0000
0.0000 0.0000 0.5000
0.0000 0.5000 0.0000
0.5000 0.5000 0.5000
0.0000 0.0000 0.0000
```

Values from the calculation:
DFT total energy   -3.62 eV/atom
Total moment   4.00 μB/cell
Density   3.46 g/cm³
SG   No. 221
Raw formation energy   -0.27 eV/atom

***

Entry 6:
Here is crystalline Sr2NbBr2 at its relaxed geometry from Alexandria via LeMat-Bulk. Energies are from PBE-GGA.

Structure (POSCAR):
```
Sr2NbBr2
1.0
9.3039 0.0000 0.0000
0.0000 9.3039 0.0000
0.0000 0.0000 3.7435
Br Sr Nb
4 4 2
direct
0.6268 0.8732 0.5000
0.8732 0.3732 0.5000
0.1268 0.6268 0.5000
0.3732 0.1268 0.5000
0.8280 0.6720 0.0000
0.6720 0.1720 0.0000
0.3280 0.8280 0.0000
0.1720 0.3280 0.0000
0.0000 0.0000 0.0000
0.5000 0.5000 0.0000
```

Values from the calculation:
DFT total energy   -3.59 eV/atom
Total moment   9.47 μB/cell
Density   4.39 g/cm³
SG   No. 127
Raw formation energy   -0.23 eV/atom